# 1
A plane-wave DFT calculation with PBE was carried out for Nd4Tm5Ag after structural relaxation.

As for the formation energy from the elements: -0.043 eV per atom. Its spin magnetization is 0.00 Bohr magnetons per cell.

```
Nd4Tm5Ag
1.0
-0.028 2.774 2.276
-3.093 -1.172 1.391
12.097 -12.979 15.971
Tm Nd Ag
5 4 1
direct
0.500 0.500 0.924
0.500 0.500 0.076
0.500 0.500 0.500
0.500 0.500 0.289
0.500 0.500 0.711
0.000 0.000 0.184
0.000 0.000 0.395
0.000 0.000 0.605
0.000 0.000 0.816
0.000 0.000 0.000
```

=====

# 2
A plane-wave DFT calculation with PBE was carried out for NdTmAg4 after structural relaxation.

As for the formation energy from the elements: -0.279 eV per atom. The distance to the lowest polymorph of the same formula is 0.002 eV per atom. Its spin magnetization is 0.00 Bohr magnetons per cell.

```
NdTmAg4
1.0
5.328 -0.077 0.042
0.042 4.632 2.643
-0.044 -0.009 5.398
Nd Tm Ag
1 1 4
direct
0.001 0.502 0.495
0.501 0.002 0.495
0.501 0.678 0.144
0.501 0.326 0.847
0.001 0.834 0.831
0.001 0.170 0.160
```